(1)
The following is a DFT calculation (PBE-GGA) of crystalline TmCdIn at its relaxed geometry.

Unit cell a=4.8287 b=4.8287 c=4.8287 alpha=60.00 beta=60.00 gamma=60.00
Last column: nearest neighbours and their distance in Å.
Positions (direct):
In1 0.2500 0.2500 0.2500  4 Cd 2.96
Cd1 0.0000 0.0000 0.0000  4 Tm 2.96, 4 In 2.96
Tm1 0.7500 0.7500 0.7500  4 Cd 2.96

Space-group type ... F-43m (216)
Total magnetization ... 0.000 μB/cell
Energy ... -8.80 eV/cell

***

(2)
The following is a DFT calculation (PBE-GGA) of crystalline TmCdIn at its relaxed geometry.

Unit cell a=4.9961 b=4.9961 c=4.9961 alpha=60.00 beta=60.00 gamma=60.00
Last column: nearest neighbours and their distance in Å.
Positions (direct):
Cd1 0.2500 0.2500 0.2500  4 Tm 3.06
Tm1 0.0000 0.0000 0.0000  4 Cd 3.06, 4 In 3.06
In1 0.7500 0.7500 0.7500  4 Tm 3.06

Space-group type ... F-43m (216)
Total magnetization ... 0.000 μB/cell
Energy ... -7.86 eV/cell